1.
Below is a relaxed structure of ZnGa6I12, with properties calculated at the PBE level.

Values from the calculation:
**Formation energy without anion corrections**: -338 meV/atom

Unit cell a=11.288 b=11.288 c=11.288 alpha=110.34 beta=110.34 gamma=110.34
Element x y z (fractional)
Zn (0.000, 0.000, 0.000)
Ga (0.997, 0.097, 0.235)
Ga (0.903, 0.765, 0.003)
Ga (0.765, 0.003, 0.903)
Ga (0.003, 0.903, 0.765)
Ga (0.097, 0.235, 0.997)
Ga (0.235, 0.997, 0.097)
I (0.660, 0.515, 0.807)
I (0.515, 0.807, 0.660)
I (0.807, 0.660, 0.515)
I (0.340, 0.485, 0.193)
I (0.485, 0.193, 0.340)
I (0.193, 0.340, 0.485)
I (0.079, 0.140, 0.727)
I (0.273, 0.921, 0.860)
I (0.860, 0.273, 0.921)
I (0.921, 0.860, 0.273)
I (0.727, 0.079, 0.140)
I (0.140, 0.727, 0.079)


2.
Below is a relaxed structure of Pm3Pr4Er2, with properties calculated at the PBE level.

Values from the calculation:
**Density of states at the Fermi level**: 1.84 states/eV/atom
**Formation energy from the elements**: 61 kJ/mol of formula units
**Energy relative to the lowest polymorph listed for this composition**: 54 meV/atom

Unit cell a=3.643 b=3.643 c=27.212 alpha=90.00 beta=90.00 gamma=120.00
Element x y z (fractional)
Pm (0.000, 0.000, 0.982)
Pm (0.000, 0.000, 0.319)
Pm (0.667, 0.333, 0.657)
Pr (0.000, 0.000, 0.545)
Pr (0.667, 0.333, 0.432)
Pr (0.667, 0.333, 0.211)
Pr (0.000, 0.000, 0.769)
Er (0.667, 0.333, 0.085)
Er (0.667, 0.333, 0.875)